Model i:
# CeGe3Rh3, relaxed, DFT GGA-PBE
data_CeGe3Rh3
_chemical_formula_sum 'Ce6 Ge18 Rh18'
_cell_length_a 6.8665
_cell_length_b 6.8665
_cell_length_c 20.0974
_cell_angle_alpha 90.00
_cell_angle_beta 90.00
_cell_angle_gamma 120.00
_space_group_name_H-M_alt 'R -3'
_space_group_IT_number 148
_space_group_name_Hall '-R 3'
loop_
_atom_site_label
_atom_site_type_symbol
_atom_site_fract_x
_atom_site_fract_y
_atom_site_fract_z
Ce1 Ce 0.0000 0.0000 0.1748
Ge1 Ge 0.0394 0.6219 0.2564
Rh1 Rh 0.0193 0.7432 0.7145
# Total moment = 0.02 μB per atom
# Density of states at the Fermi level = 36.48 states/eV/cell

***

Model ii:
# CeGe3Rh3, relaxed, DFT GGA-PBE
data_CeGe3Rh3
_chemical_formula_sum 'Ce2 Ge6 Rh6'
_cell_length_a 6.7142
_cell_length_b 6.7142
_cell_length_c 6.7142
_cell_angle_alpha 90.00
_cell_angle_beta 90.00
_cell_angle_gamma 90.00
_space_group_name_H-M_alt 'P m -3 n'
_space_group_IT_number 223
_space_group_name_Hall '-P 4n 2 3'
loop_
_atom_site_label
_atom_site_type_symbol
_atom_site_fract_x
_atom_site_fract_y
_atom_site_fract_z
Ce1 Ce 0.0000 0.0000 0.0000
Ge1 Ge 0.0000 0.2500 0.5000
Rh1 Rh 0.0000 0.5000 0.2500
# Total moment = 0.19 μB per atom
# Density of states at the Fermi level = 25.45 states/eV/cell

***

Which is the most stable structure? model i is the most stable.

***

Model i:
# Ce4Ge2Rh, relaxed, DFT GGA-PBE
data_Ce4Ge2Rh
_chemical_formula_sum 'Ce8 Ge4 Rh2'
_cell_length_a 8.0989
_cell_length_b 8.8625
_cell_length_c 4.3813
_cell_angle_alpha 90.00
_cell_angle_beta 90.00
_cell_angle_gamma 90.00
_space_group_name_H-M_alt 'C m m m'
_space_group_IT_number 65
_space_group_name_Hall '-C 2 2'
loop_
_atom_site_label
_atom_site_type_symbol
_atom_site_fract_x
_atom_site_fract_y
_atom_site_fract_z
Ce1 Ce 0.1692 0.0000 0.0000
Ce2 Ce 0.2500 0.2500 0.5000
Ge1 Ge 0.0000 0.3207 0.0000
Rh1 Rh 0.0000 0.5000 0.5000
# Total moment = 0.23 μB per atom
# Density of states at the Fermi level = 27.42 states/eV/cell

***

Model ii:
# Ce4Ge2Rh, relaxed, DFT GGA-PBE
data_Ce4Ge2Rh
_chemical_formula_sum 'Ce8 Ge4 Rh2'
_cell_length_a 13.2215
_cell_length_b 5.3043
_cell_length_c 5.3042
_cell_angle_alpha 90.00
_cell_angle_beta 113.48
_cell_angle_gamma 90.00
_space_group_name_H-M_alt 'C 1 2/m 1'
_space_group_IT_number 12
_space_group_name_Hall '-C 2y'
loop_
_atom_site_label
_atom_site_type_symbol
_atom_site_fract_x
_atom_site_fract_y
_atom_site_fract_z
Ce1 Ce 0.1226 0.0000 0.1233
Ce2 Ce 0.1226 0.5000 0.6239
Ge1 Ge 0.2450 0.0000 0.7447
Rh1 Rh 0.0000 0.0000 0.5000
# Total moment = 0.25 μB per atom
# Density of states at the Fermi level = 32.29 states/eV/cell

***

Which is the most stable structure? model i is the most stable.

***

Model i:
# Ce2Ge3Rh, relaxed, DFT GGA-PBE
data_Ce2Ge3Rh
_chemical_formula_sum 'Ce2 Ge3 Rh1'
_cell_length_a 3.9693
_cell_length_b 4.4030
_cell_length_c 7.3003
_cell_angle_alpha 90.00
_cell_angle_beta 90.00
_cell_angle_gamma 90.00
_space_group_name_H-M_alt 'P m m 2'
_space_group_IT_number 25
_space_group_name_Hall 'P 2 -2'
loop_
_atom_site_label
_atom_site_type_symbol
_atom_site_fract_x
_atom_site_fract_y
_atom_site_fract_z
Ce1 Ce 0.0000 0.0000 0.0000
Ce2 Ce 0.0000 0.5000 0.4833
Ge1 Ge 0.5000 0.0000 0.6535
Ge2 Ge 0.5000 0.5000 0.1598
Ge3 Ge 0.5000 0.5000 0.8199
Rh1 Rh 0.5000 0.0000 0.3162
# Total moment = 0.13 μB per atom
# Density of states at the Fermi level = 7.62 states/eV/cell

***

Model ii:
# Ce2Ge3Rh, relaxed, DFT GGA-PBE
data_Ce2Ge3Rh
_chemical_formula_sum 'Ce16 Ge24 Rh8'
_cell_length_a 8.1750
_cell_length_b 8.5628
_cell_length_c 14.6869
_cell_angle_alpha 90.00
_cell_angle_beta 90.00
_cell_angle_gamma 90.00
_space_group_name_H-M_alt 'F m m m'
_space_group_IT_number 69
_space_group_name_Hall '-F 2 2'
loop_
_atom_site_label
_atom_site_type_symbol
_atom_site_fract_x
_atom_site_fract_y
_atom_site_fract_z
Ce1 Ce 0.2444 0.0000 0.0000
Ce2 Ce 0.2500 0.2500 0.2500
Ge1 Ge 0.0000 0.0000 0.3316
Ge2 Ge 0.0000 0.2501 0.0841
Rh1 Rh 0.0000 0.0000 0.1650
# Total moment = 0.20 μB per atom
# Density of states at the Fermi level = 83.15 states/eV/cell

***

Which is the most stable structure? model ii is the most stable.

***

Model i:
# CeGe3Rh, relaxed, DFT GGA-PBE
data_CeGe3Rh
_chemical_formula_sum 'Ce2 Ge6 Rh2'
_cell_length_a 6.0743
_cell_length_b 5.6623
_cell_length_c 5.8127
_cell_angle_alpha 90.00
_cell_angle_beta 90.00
_cell_angle_gamma 90.00
_space_group_name_H-M_alt 'P m n 21'
_space_group_IT_number 31
_space_group_name_Hall 'P 2ac -2'
loop_
_atom_site_label
_atom_site_type_symbol
_atom_site_fract_x
_atom_site_fract_y
_atom_site_fract_z
Ce1 Ce 0.0000 0.1442 0.0000
Ge1 Ge 0.0000 0.9124 0.5491
Ge2 Ge 0.2350 0.3151 0.4515
Rh1 Rh 0.0000 0.6113 0.2564
# Total moment = 0.04 μB per atom
# Density of states at the Fermi level = 6.62 states/eV/cell

***

Model ii:
# CeGe3Rh, relaxed, DFT GGA-PBE
data_CeGe3Rh
_chemical_formula_sum 'Ce2 Ge6 Rh2'
_cell_length_a 4.4093
_cell_length_b 4.4093
_cell_length_c 10.0778
_cell_angle_alpha 90.00
_cell_angle_beta 90.00
_cell_angle_gamma 90.00
_space_group_name_H-M_alt 'I 4 m m'
_space_group_IT_number 107
_space_group_name_Hall 'I 4 -2'
loop_
_atom_site_label
_atom_site_type_symbol
_atom_site_fract_x
_atom_site_fract_y
_atom_site_fract_z
Ce1 Ce 0.0000 0.0000 0.0000
Ge1 Ge 0.0000 0.0000 0.4248
Ge2 Ge 0.0000 0.5000 0.2667
Rh1 Rh 0.0000 0.0000 0.6626
# Total moment = 0.13 μB per atom
# Density of states at the Fermi level = 12.71 states/eV/cell

***

Which is the most stable structure? model ii is the most stable.

***

Model i:
# Ce2Ge4Rh3, relaxed, DFT GGA-PBE
data_Ce2Ge4Rh3
_chemical_formula_sum 'Ce8 Ge16 Rh12'
_cell_length_a 5.7844
_cell_length_b 14.8858
_cell_length_c 7.5301
_cell_angle_alpha 90.00
_cell_angle_beta 90.00
_cell_angle_gamma 90.00
_space_group_name_H-M_alt 'C m c e'
_space_group_IT_number 64
_space_group_name_Hall '-C 2ac 2'
loop_
_atom_site_label
_atom_site_type_symbol
_atom_site_fract_x
_atom_site_fract_y
_atom_site_fract_z
Ce1 Ce 0.0000 0.1096 0.0909
Ge1 Ge 0.0000 0.1811 0.4773
Ge2 Ge 0.2500 0.0589 0.7500
Rh1 Rh 0.0000 0.0000 0.5000
Rh2 Rh 0.2500 0.2284 0.7500
# Total moment = 0.00 μB per atom
# Density of states at the Fermi level = 33.69 states/eV/cell

***

Model ii:
# Ce2Ge4Rh3, relaxed, DFT GGA-PBE
data_Ce2Ge4Rh3
_chemical_formula_sum 'Ce8 Ge16 Rh12'
_cell_length_a 5.5659
_cell_length_b 9.7912
_cell_length_c 12.2124
_cell_angle_alpha 90.00
_cell_angle_beta 90.00
_cell_angle_gamma 90.00
_space_group_name_H-M_alt 'F m m m'
_space_group_IT_number 69
_space_group_name_Hall '-F 2 2'
loop_
_atom_site_label
_atom_site_type_symbol
_atom_site_fract_x
_atom_site_fract_y
_atom_site_fract_z
Ce1 Ce 0.0000 0.0000 0.1284
Ge1 Ge 0.0000 0.1676 0.3382
Rh1 Rh 0.0000 0.0000 0.5000
Rh2 Rh 0.2500 0.2500 0.0000
# Total moment = 0.10 μB per atom
# Density of states at the Fermi level = 41.14 states/eV/cell

***

Which is the most stable structure? model i is the most stable.

***

Model i:
# CeGeRu2, relaxed, DFT GGA-PBE
data_CeGeRu2
_chemical_formula_sum 'Ce1 Ge1 Ru2'
_cell_length_a 4.3372
_cell_length_b 4.3372
_cell_length_c 3.5995
_cell_angle_alpha 90.00
_cell_angle_beta 90.00
_cell_angle_gamma 90.00
_space_group_name_H-M_alt 'P 4/m m m'
_space_group_IT_number 123
_space_group_name_Hall '-P 4 2'
loop_
_atom_site_label
_atom_site_type_symbol
_atom_site_fract_x
_atom_site_fract_y
_atom_site_fract_z
Ce1 Ce 0.0000 0.0000 0.0000
Ge1 Ge 0.5000 0.5000 0.0000
Ru1 Ru 0.0000 0.5000 0.5000
# Total moment = 0.00 μB per atom
# Density of states at the Fermi level = 1.17 states/eV/cell

***

Model ii:
# CeGeRu2, relaxed, DFT GGA-PBE
data_CeGeRu2
_chemical_formula_sum 'Ce4 Ge4 Ru8'
_cell_length_a 6.4994
_cell_length_b 6.4994
_cell_length_c 6.4994
_cell_angle_alpha 90.00
_cell_angle_beta 90.00
_cell_angle_gamma 90.00
_space_group_name_H-M_alt 'F m -3 m'
_space_group_IT_number 225
_space_group_name_Hall '-F 4 2 3'
loop_
_atom_site_label
_atom_site_type_symbol
_atom_site_fract_x
_atom_site_fract_y
_atom_site_fract_z
Ce1 Ce 0.0000 0.0000 0.0000
Ge1 Ge 0.0000 0.0000 0.5000
Ru1 Ru 0.2500 0.2500 0.2500
# Total moment = 0.04 μB per atom
# Density of states at the Fermi level = 8.52 states/eV/cell

***

Which is the most stable structure? model i is the most stable.

***

Model i:
# CeGeRu2, relaxed, DFT GGA-PBE
data_CeGeRu2
_chemical_formula_sum 'Ce2 Ge2 Ru4'
_cell_length_a 4.7134
_cell_length_b 4.3672
_cell_length_c 7.1763
_cell_angle_alpha 90.00
_cell_angle_beta 103.58
_cell_angle_gamma 90.00
_space_group_name_H-M_alt 'P 1 21/m 1'
_space_group_IT_number 11
_space_group_name_Hall '-P 2yb'
loop_
_atom_site_label
_atom_site_type_symbol
_atom_site_fract_x
_atom_site_fract_y
_atom_site_fract_z
Ce1 Ce 0.1554 0.2500 0.2095
Ge1 Ge 0.3142 0.2500 0.6894
Ru1 Ru 0.2587 0.7500 0.5063
Ru2 Ru 0.3554 0.7500 0.9247
# Total moment = 0.00 μB per atom
# Density of states at the Fermi level = 3.58 states/eV/cell

***

Model ii:
# CeGeRu2, relaxed, DFT GGA-PBE
data_CeGeRu2
_chemical_formula_sum 'Ce1 Ge1 Ru2'
_cell_length_a 3.1406
_cell_length_b 3.1406
_cell_length_c 6.8709
_cell_angle_alpha 90.00
_cell_angle_beta 90.00
_cell_angle_gamma 90.00
_space_group_name_H-M_alt 'P 4/m m m'
_space_group_IT_number 123
_space_group_name_Hall '-P 4 2'
loop_
_atom_site_label
_atom_site_type_symbol
_atom_site_fract_x
_atom_site_fract_y
_atom_site_fract_z
Ce1 Ce 0.0000 0.0000 0.0000
Ge1 Ge 0.0000 0.0000 0.5000
Ru1 Ru 0.5000 0.5000 0.2949
# Total moment = 0.00 μB per atom
# Density of states at the Fermi level = 2.99 states/eV/cell

***

Which is the most stable structure? model i is the most stable.

***

Model i:
# Ce2Ge3Ru, relaxed, DFT GGA-PBE
data_Ce2Ge3Ru
_chemical_formula_sum 'Ce4 Ge6 Ru2'
_cell_length_a 3.5075
_cell_length_b 4.8283
_cell_length_c 15.6531
_cell_angle_alpha 90.00
_cell_angle_beta 90.00
_cell_angle_gamma 90.00
_space_group_name_H-M_alt 'I m m m'
_space_group_IT_number 71
_space_group_name_Hall '-I 2 2'
loop_
_atom_site_label
_atom_site_type_symbol
_atom_site_fract_x
_atom_site_fract_y
_atom_site_fract_z
Ce1 Ce 0.0000 0.0000 0.1520
Ge1 Ge 0.0000 0.0000 0.3392
Ge2 Ge 0.0000 0.5000 0.5000
Ru1 Ru 0.0000 0.0000 0.5000
# Total moment = 0.00 μB per atom
# Density of states at the Fermi level = 15.69 states/eV/cell

***

Model ii:
# Ce2Ge3Ru, relaxed, DFT GGA-PBE
data_Ce2Ge3Ru
_chemical_formula_sum 'Ce16 Ge24 Ru8'
_cell_length_a 8.0880
_cell_length_b 8.6050
_cell_length_c 14.6633
_cell_angle_alpha 90.00
_cell_angle_beta 90.00
_cell_angle_gamma 90.00
_space_group_name_H-M_alt 'F m m m'
_space_group_IT_number 69
_space_group_name_Hall '-F 2 2'
loop_
_atom_site_label
_atom_site_type_symbol
_atom_site_fract_x
_atom_site_fract_y
_atom_site_fract_z
Ce1 Ce 0.2387 0.0000 0.0000
Ce2 Ce 0.2500 0.2500 0.2500
Ge1 Ge 0.0000 0.0000 0.3304
Ge2 Ge 0.0000 0.2483 0.4156
Ru1 Ru 0.0000 0.0000 0.1629
# Total moment = 0.12 μB per atom
# Density of states at the Fermi level = 61.24 states/eV/cell

***

Which is the most stable structure? model ii is the most stable.